A relaxed Tb2Pm7Y crystal, computed with PBE.

Unit cell a=5.581 b=9.465 c=9.465 alpha=124.80 beta=90.00 gamma=90.00
Sites, in units of the cell vectors:
Pm 0.000 0.787 0.213
Pm 0.000 0.213 0.787
Y 0.000 0.000 0.000
Tb 0.500 0.295 0.705
Pm 0.500 0.500 0.500
Tb 0.500 0.705 0.295
Pm 0.500 0.291 0.067
Pm 0.500 0.067 0.291
Pm 0.500 0.709 0.933
Pm 0.500 0.933 0.709

density	5.750	g/cm³
total DFT energy (no corrections)	-4.253	eV/atom
space group	Cmmm, No. 65
formation energy from the elements	0.645	eV per atom

=====

A relaxed Tb4Pm3Y crystal, computed with PBE.

Unit cell a=3.500 b=6.783 c=11.939 alpha=106.56 beta=98.43 gamma=90.00
Sites, in units of the cell vectors:
Tb 0.741 0.247 0.481
Tb 0.125 0.366 0.249
Pm 0.874 0.118 0.748
Pm 0.000 0.500 0.000
Tb 0.259 0.753 0.519
Y 0.500 0.000 0.000
Tb 0.875 0.634 0.751
Pm 0.126 0.882 0.252

density	7.173	g/cm³
total DFT energy (no corrections)	-4.749	eV/atom
space group	C2/m, No. 12
formation energy from the elements	0.156	eV per atom
E above lowest polymorph	1.084	eV per formula unit

=====

A relaxed Tb2Pm12Y crystal, computed with PBE.

Unit cell a=6.529 b=6.529 c=25.476 alpha=90.00 beta=90.00 gamma=90.00
Sites, in units of the cell vectors:
Pm 0.317 0.817 0.885
Pm 0.683 0.183 0.885
Pm 0.332 0.168 0.562
Pm 0.183 0.317 0.885
Pm 0.000 0.000 0.662
Pm 0.500 0.500 0.216
Pm 0.168 0.332 0.438
Tb 0.000 0.500 0.272
Tb 0.500 0.000 0.272
Pm 0.817 0.317 0.115
Pm 0.183 0.683 0.115
Pm 0.500 0.500 0.338
Pm 0.000 0.000 0.338
Pm 0.668 0.168 0.438
Pm 0.500 0.500 0.662
Pm 0.683 0.817 0.115
Tb 0.000 0.500 0.728
Y 0.500 0.000 0.000
Y 0.000 0.500 0.000
Pm 0.317 0.183 0.115
Pm 0.000 0.000 0.216
Pm 0.817 0.683 0.885
Pm 0.500 0.500 0.784
Pm 0.832 0.332 0.562
Tb 0.500 0.000 0.728
Pm 0.832 0.668 0.438
Pm 0.332 0.832 0.438
Pm 0.668 0.832 0.562
Pm 0.000 0.000 0.784
Pm 0.168 0.668 0.562

density	6.566	g/cm³
total DFT energy (no corrections)	-4.531	eV/atom
space group	P4/nbm, No. 125
formation energy from the elements	0.318	eV per atom

=====

A relaxed TbPmY5 crystal, computed with PBE.

Unit cell a=5.791 b=7.900 c=7.900 alpha=65.91 beta=68.50 gamma=68.50
Sites, in units of the cell vectors:
Tb 0.000 0.000 0.000
Y 0.254 0.746 0.746
Y 0.746 0.254 0.254
Y 0.500 0.822 0.178
Y 0.000 0.500 0.500
Pm 0.500 0.500 0.500
Y 0.500 0.178 0.822

density	4.187	g/cm³
total DFT energy (no corrections)	-4.876	eV/atom
space group	Immm, No. 71
formation energy from the elements	1.081	eV per atom
E above lowest polymorph	6.820	eV per formula unit

=====

A relaxed Tb9PmY2 crystal, computed with PBE.

Unit cell a=3.511 b=11.302 c=11.302 alpha=120.00 beta=90.00 gamma=90.00
Sites, in units of the cell vectors:
Y 0.000 0.667 0.333
Tb 0.500 0.177 0.353
Tb 0.500 0.647 0.823
Tb 0.500 0.353 0.177
Y 0.000 0.333 0.667
Tb 0.000 0.000 0.500
Tb 0.000 0.500 0.500
Tb 0.500 0.177 0.823
Tb 0.500 0.823 0.177
Pm 0.000 0.000 0.000
Tb 0.500 0.823 0.647
Tb 0.000 0.500 0.000

density	7.495	g/cm³
total DFT energy (no corrections)	-4.901	eV/atom
space group	P6/mmm, No. 191
formation energy from the elements	0.045	eV per atom
E above lowest polymorph	0.297	eV per formula unit

=====

A relaxed TbPm2Y2 crystal, computed with PBE.

Unit cell a=6.601 b=12.331 c=8.725 alpha=90.00 beta=108.29 gamma=90.00
Sites, in units of the cell vectors:
Pm 0.756 0.954 0.083
Y 0.999 0.696 0.302
Pm 0.256 0.546 0.083
Pm 0.244 0.046 0.917
Y 0.501 0.196 0.698
Pm 0.739 0.456 0.350
Y 0.499 0.804 0.302
Y 0.917 0.205 0.045
Pm 0.744 0.454 0.917
Tb 0.266 0.846 0.635
Y 0.583 0.705 0.955
Tb 0.766 0.654 0.635
Pm 0.261 0.544 0.650
Pm 0.761 0.956 0.650
Y 0.083 0.795 0.955
Tb 0.734 0.154 0.365
Tb 0.234 0.346 0.365
Y 0.417 0.295 0.045
Y 0.001 0.304 0.698
Pm 0.239 0.044 0.350

density	6.174	g/cm³
total DFT energy (no corrections)	-5.273	eV/atom
space group	P2_1/c, No. 14
formation energy from the elements	0.139	eV per atom
E above lowest polymorph	0.611	eV per formula unit

=====

A relaxed Tb4PmY7 crystal, computed with PBE.

Unit cell a=6.835 b=8.785 c=9.102 alpha=83.47 beta=94.18 gamma=47.59
Sites, in units of the cell vectors:
Pm 0.000 0.000 0.000
Tb 0.778 0.839 0.691
Y 0.703 0.189 0.387
Y 0.012 0.681 0.361
Y 0.736 0.515 0.950
Tb 0.222 0.161 0.309
Tb 0.452 0.361 0.715
Y 0.500 0.000 0.000
Y 0.264 0.485 0.050
Tb 0.548 0.639 0.285
Y 0.988 0.319 0.639
Y 0.297 0.811 0.613

density	5.936	g/cm³
total DFT energy (no corrections)	-5.626	eV/atom
space group	P-1, No. 2
formation energy from the elements	0.084	eV per atom
E above lowest polymorph	0.000	eV per formula unit

=====

A relaxed Tb4Pm4Y3 crystal, computed with PBE.

Unit cell a=5.087 b=3.596 c=20.025 alpha=95.17 beta=97.29 gamma=90.02
Sites, in units of the cell vectors:
Tb 0.091 0.092 0.182
Y 0.636 0.637 0.273
Y 0.364 0.363 0.727
Tb 0.272 0.272 0.545
Pm 0.454 0.454 0.908
Pm 0.546 0.546 0.092
Tb 0.727 0.728 0.455
Pm 0.182 0.182 0.364
Pm 0.818 0.818 0.636
Tb 0.909 0.908 0.818
Y 0.000 0.000 0.000

density	6.804	g/cm³
total DFT energy (no corrections)	-5.158	eV/atom
space group	C2/m, No. 12
formation energy from the elements	0.016	eV per atom
E above lowest polymorph	0.000	eV per formula unit

=====

Q: Which value of formation energy from the elements does entry 5 give?
A: 0.045 eV per atom